[1]
Li6Ni2PC4O16 | SCAN | single point on PBEsol structure

Properties
As for the space-group type: Fd-3. For the energy, the calculation gives -8.65 eV/atom. As for the formation energy (no corrections): -178 kJ/mol of atoms.

Lattice parameters (Å, degrees): 9.152 9.152 9.152 60.00 60.00 60.00
Fractional positions:
Li  0.203  0.203  0.797
Li  0.203  0.797  0.203
Li  0.047  0.453  0.047
Li  0.453  0.047  0.047
Li  0.453  0.047  0.453
Li  0.203  0.797  0.797
Li  0.797  0.203  0.797
Li  0.453  0.453  0.047
Li  0.797  0.797  0.203
Li  0.797  0.203  0.203
Li  0.047  0.453  0.453
Li  0.047  0.047  0.453
O  0.710  0.835  0.992
O  0.540  0.258  0.787
O  0.258  0.415  0.787
O  0.181  0.181  0.181
O  0.787  0.415  0.540
O  0.463  0.835  0.710
O  0.415  0.258  0.540
O  0.069  0.794  0.069
O  0.181  0.456  0.181
O  0.069  0.069  0.794
O  0.992  0.463  0.710
O  0.787  0.540  0.258
O  0.992  0.710  0.835
O  0.992  0.835  0.463
O  0.540  0.415  0.258
O  0.069  0.069  0.069
O  0.835  0.710  0.463
O  0.835  0.463  0.992
O  0.415  0.540  0.787
O  0.258  0.787  0.540
O  0.710  0.992  0.463
O  0.415  0.787  0.258
O  0.456  0.181  0.181
O  0.794  0.069  0.069
O  0.258  0.540  0.415
O  0.710  0.463  0.835
O  0.181  0.181  0.456
O  0.540  0.787  0.415
O  0.463  0.710  0.992
O  0.835  0.992  0.710
O  0.463  0.992  0.835
O  0.787  0.258  0.415
C  0.845  0.464  0.845
C  0.845  0.845  0.845
C  0.405  0.405  0.786
C  0.845  0.845  0.464
C  0.786  0.405  0.405
C  0.405  0.786  0.405
C  0.464  0.845  0.845
C  0.405  0.405  0.405
Ni  0.125  0.625  0.625
Ni  0.625  0.625  0.125
Ni  0.625  0.125  0.625
Ni  0.625  0.625  0.625
P  0.250  0.250  0.250
P  0.000  0.000  0.000


[2]
Li6Ni2C4SO16 | SCAN | single point on PBEsol structure

Properties
As for the space-group type: Fd-3. For the energy, the calculation gives -8.61 eV/atom. As for the formation energy (no corrections): -177 kJ/mol of atoms.

Lattice parameters (Å, degrees): 9.172 9.172 9.172 60.00 60.00 60.00
Fractional positions:
Li  0.468  0.468  0.032
Li  0.468  0.032  0.032
Li  0.218  0.782  0.782
Li  0.468  0.032  0.468
Li  0.218  0.218  0.782
Li  0.782  0.218  0.782
Li  0.782  0.218  0.218
Li  0.032  0.032  0.468
Li  0.032  0.468  0.468
Li  0.782  0.782  0.218
Li  0.032  0.468  0.032
Li  0.218  0.782  0.218
O  0.184  0.449  0.184
O  0.411  0.538  0.795
O  0.839  0.994  0.712
O  0.839  0.712  0.455
O  0.066  0.066  0.801
O  0.712  0.839  0.994
O  0.411  0.795  0.256
O  0.538  0.256  0.795
O  0.184  0.184  0.449
O  0.256  0.411  0.795
O  0.839  0.455  0.994
O  0.994  0.712  0.839
O  0.449  0.184  0.184
O  0.184  0.184  0.184
O  0.795  0.411  0.538
O  0.538  0.411  0.256
O  0.455  0.839  0.712
O  0.994  0.455  0.712
O  0.066  0.801  0.066
O  0.795  0.538  0.256
O  0.795  0.256  0.411
O  0.801  0.066  0.066
O  0.994  0.839  0.455
O  0.411  0.256  0.538
O  0.712  0.455  0.839
O  0.066  0.066  0.066
O  0.538  0.795  0.411
O  0.256  0.538  0.411
O  0.455  0.712  0.994
O  0.455  0.994  0.839
O  0.712  0.994  0.455
O  0.256  0.795  0.538
Ni  0.625  0.625  0.625
Ni  0.125  0.625  0.625
Ni  0.625  0.625  0.125
Ni  0.625  0.125  0.625
S  0.250  0.250  0.250
S  0.000  0.000  0.000
C  0.848  0.848  0.456
C  0.794  0.402  0.402
C  0.848  0.456  0.848
C  0.456  0.848  0.848
C  0.402  0.402  0.794
C  0.402  0.402  0.402
C  0.848  0.848  0.848
C  0.402  0.794  0.402